# 1
Here is an optimized crystal structure of CaY2InO from the Alexandria database. Energies are from GGA-PBE.

Computed properties:
Size of the total moment = 0.000 Bohr magnetons per cell
Total energy = -5.951 eV/atom
Uncorrected formation energy = -1.426 eV/atom
Theoretical density = 5.2 g cm⁻³

abc: 4.8108 4.8108 4.8268
angles: 90.00 90.00 90.00
Closest atoms and distances in Å follow each position.
Positions (direct):
Ca: 0.0000 0.0000 0.0000  2 O 2.41
Y: 0.0000 0.5000 0.5000  2 O 2.41
Y: 0.5000 0.0000 0.5000  2 O 2.41
In: 0.5000 0.5000 0.0000  4 Ca 3.40, 8 Y 3.41
O: 0.0000 0.0000 0.5000  4 Y 2.41, 2 Ca 2.41



# 2
Here is an optimized crystal structure of CaYIn2O from the Alexandria database. Energies are from GGA-PBE.

Computed properties:
Size of the total moment = 0.001 Bohr magnetons per cell
Total energy = -2.631 eV/atom
Uncorrected formation energy = 1.149 eV/atom
Theoretical density = 3.3 g cm⁻³

abc: 5.6272 5.6272 5.9747
angles: 90.00 90.00 90.00
Closest atoms and distances in Å follow each position.
Positions (direct):
Ca: 0.0000 0.0000 0.0000  4 In 2.81, 2 Y 2.99
Y: 0.0000 0.0000 0.5000  2 Ca 2.99
In: 0.0000 0.5000 0.0000  2 Ca 2.81
In: 0.5000 0.0000 0.0000  2 Ca 2.81
O: 0.5000 0.5000 0.5000  4 Y 3.98, 8 In 4.10